No. 1
Computed, not measured: a geometry-optimized DyTmZnGa structure at the PBE-GGA level of DFT.

abc: 5.013 5.013 5.013
angles: 60.00 60.00 60.00
Positions (direct):
Dy 0.000 0.000 0.000
Tm 0.500 0.500 0.500
Zn 0.250 0.250 0.250
Ga 0.750 0.750 0.750

=====

No. 2
Computed, not measured: a geometry-optimized DyU4Ga15 structure at the PBE-GGA level of DFT.

abc: 4.254 4.254 21.398
angles: 90.00 90.00 90.00
Positions (direct):
Dy 0.000 0.000 0.000
U 0.000 0.000 0.200
U 0.000 0.000 0.400
U 0.000 0.000 0.600
U 0.000 0.000 0.800
Ga 0.000 0.500 0.101
Ga 0.000 0.500 0.300
Ga 0.000 0.500 0.500
Ga 0.000 0.500 0.700
Ga 0.000 0.500 0.899
Ga 0.500 0.000 0.101
Ga 0.500 0.000 0.300
Ga 0.500 0.000 0.500
Ga 0.500 0.000 0.700
Ga 0.500 0.000 0.899
Ga 0.500 0.500 0.000
Ga 0.500 0.500 0.200
Ga 0.500 0.500 0.400
Ga 0.500 0.500 0.600
Ga 0.500 0.500 0.800

=====

No. 3
Computed, not measured: a geometry-optimized Dy2UGa9 structure at the PBE-GGA level of DFT.

abc: 4.253 4.253 12.861
angles: 90.00 90.00 90.00
Positions (direct):
Dy 0.000 0.000 0.167
Dy 0.000 0.000 0.833
U 0.000 0.000 0.500
Ga 0.000 0.500 0.000
Ga 0.000 0.500 0.335
Ga 0.000 0.500 0.665
Ga 0.500 0.000 0.000
Ga 0.500 0.000 0.335
Ga 0.500 0.000 0.665
Ga 0.500 0.500 0.167
Ga 0.500 0.500 0.500
Ga 0.500 0.500 0.833

=====

No. 4
Computed, not measured: a geometry-optimized DyUGa2 structure at the PBE-GGA level of DFT.

abc: 10.171 10.171 10.171
angles: 17.97 17.97 17.97
Positions (direct):
Dy 0.000 0.000 0.000
U 0.500 0.500 0.500
Ga 0.250 0.250 0.250
Ga 0.750 0.750 0.750

=====

No. 5
Computed, not measured: a geometry-optimized DyVGa6 structure at the PBE-GGA level of DFT.

abc: 5.246 5.246 5.905
angles: 90.20 90.20 119.95
Positions (direct):
Dy 0.000 0.000 0.000
V 0.000 0.000 0.500
Ga 0.001 0.501 0.269
Ga 0.499 0.499 0.729
Ga 0.499 0.999 0.731
Ga 0.501 0.001 0.269
Ga 0.501 0.501 0.271
Ga 0.999 0.499 0.731

=====

No. 6
Computed, not measured: a geometry-optimized Dy2VGa structure at the PBE-GGA level of DFT.

abc: 10.718 10.718 10.718
angles: 17.94 17.94 17.94
Positions (direct):
Dy 0.095 0.095 0.095
Dy 0.905 0.905 0.905
V 0.500 0.500 0.500
Ga 0.000 0.000 0.000

=====

No. 7
Computed, not measured: a geometry-optimized DyVGa4 structure at the PBE-GGA level of DFT.

abc: 5.267 5.267 5.267
angles: 60.00 60.00 60.00
Positions (direct):
Dy 0.000 0.000 0.000
V 0.750 0.750 0.750
Ga 0.376 0.376 0.376
Ga 0.376 0.376 0.873
Ga 0.376 0.873 0.376
Ga 0.873 0.376 0.376

=====

No. 8
Computed, not measured: a geometry-optimized Dy3VGa12 structure at the PBE-GGA level of DFT.

abc: 4.225 4.225 16.551
angles: 90.00 90.00 90.00
Positions (direct):
Dy 0.000 0.000 0.000
Dy 0.000 0.000 0.263
Dy 0.000 0.000 0.737
V 0.000 0.000 0.500
Ga 0.000 0.500 0.130
Ga 0.000 0.500 0.391
Ga 0.000 0.500 0.609
Ga 0.000 0.500 0.870
Ga 0.500 0.000 0.130
Ga 0.500 0.000 0.391
Ga 0.500 0.000 0.609
Ga 0.500 0.000 0.870
Ga 0.500 0.500 0.000
Ga 0.500 0.500 0.256
Ga 0.500 0.500 0.500
Ga 0.500 0.500 0.744

=====

What formation enthalpy at 0 K values result from the calculations? In sequence: -1.91 -5.88 -5.29 -0.26 -1.62 1.67 -1.18 -6.53 eV/f.u..
What DOS at the Fermi energy values result from the calculations? In sequence: 0.79 1.15 0.69 1.74 0.42 1.25 0.18 0.52 states/eV/atom.